VASP calculation (GGA-PBE) on a relaxed structure of HoTh4C4.

Calculated values
Its space-group type is I4/m, No. 87. For the total energy, the calculation gives -0.6008 Ry per atom.

abc: 6.4529 6.4529 6.4529
angles: 99.93 99.93 130.93
Atoms (fractional coordinates):
Ho 0.0000 0.0000 0.0000
Th 0.1939 0.3954 0.5893
Th 0.3954 0.8061 0.2014
Th 0.6046 0.1939 0.7986
Th 0.8061 0.6046 0.4107
C 0.0912 0.6986 0.7898
C 0.3014 0.0912 0.3926
C 0.6986 0.9088 0.6074
C 0.9088 0.3014 0.2102